{"formula": "NaSiF", "functional": "PBE", "state": "optimized geometry", "cell": [[-1.2584, -0.3897, 3.4978], [-2.3591, -0.3201, -2.8814], [1.5786, -8.3609, -0.3636]], "species": ["F", "F", "Na", "Na", "Si", "Si"], "fractional_positions": [[0.6667, 0.3333, 0.9401], [0.0000, 0.0000, 0.6709], [0.0000, 0.0000, 0.0833], [0.3333, 0.6667, 0.7873], [0.3333, 0.6667, 0.3626], [0.0000, 0.0000, 0.4585]], "crystal_system": "trigonal", "de_polymorph_mev_per_atom": 0, "total_magnetization_mub_per_fu": 0.00}

{"formula": "ZrAs2O10", "functional": "PBE", "state": "optimized geometry", "cell": [[-5.5350, 4.2040, -0.8071], [-2.8744, -3.0947, 3.5934], [2.5601, 5.1287, 9.1576]], "species": ["As", "As", "As", "As", "O", "O", "O", "O", "O", "O", "O", "O", "O", "O", "O", "O", "O", "O", "O", "O", "O", "O", "O", "O", "Zr", "Zr"], "fractional_positions": [[0.7369, 0.7398, 0.9334], [0.2369, 0.2602, 0.0666], [0.3635, 0.3562, 0.6523], [0.8635, 0.6438, 0.3477], [0.1681, 0.0435, 0.3554], [0.2369, 0.5655, 0.0086], [0.9424, 0.1031, 0.4846], [0.7397, 0.9014, 0.0550], [0.6681, 0.9565, 0.6446], [0.9139, 0.4993, 0.4997], [0.7486, 0.9205, 0.3313], [0.2486, 0.0795, 0.6687], [0.1069, 0.6806, 0.3123], [0.4139, 0.5007, 0.5003], [0.5381, 0.8116, 0.8419], [0.6069, 0.3194, 0.6877], [0.7369, 0.4345, 0.9914], [0.9336, 0.8107, 0.8415], [0.4336, 0.1893, 0.1585], [0.0381, 0.1884, 0.1581], [0.2397, 0.0986, 0.9450], [0.2402, 0.5431, 0.7328], [0.7402, 0.4569, 0.2672], [0.4424, 0.8969, 0.5154], [0.2277, 0.8159, 0.8427], [0.7277, 0.1841, 0.1573]], "crystal_system": "monoclinic", "dft_energy_ev_per_fu": -78.56, "total_magnetization_mub_per_fu": 6.07}